Entry 1:
Entry from Alexandria via LeMat-Bulk: a relaxed AlSNCl2 crystal (PBEsol).

## Properties
For the total energy, the calculation gives -3.495 eV/atom. The total magnetization is 0.0 μB/cell. The formation energy (no corrections) is 709 meV/atom. The crystal system is tetragonal.

Cell lengths 4.0835, 4.0835, 4.6901 Å; angles 90.00, 90.00, 90.00 degrees
Element x y z (fractional)
Al 0.0000 0.0000 0.0000
S 0.5000 0.5000 0.0000
N 0.5000 0.5000 0.5000
Cl 0.0000 0.5000 0.5000
Cl 0.5000 0.0000 0.5000



Entry 2:
Entry from Alexandria via LeMat-Bulk: a relaxed AlSe2NCl crystal (PBEsol).

## Properties
For the total energy, the calculation gives -3.208 eV/atom. The total magnetization is 0.0 μB/cell. The formation energy (no corrections) is 1257 meV/atom. The crystal system is tetragonal.

Cell lengths 5.1040, 5.1040, 3.4298 Å; angles 90.00, 90.00, 90.00 degrees
Element x y z (fractional)
Al 0.0000 0.0000 0.0000
Se 0.0000 0.5000 0.5000
Se 0.5000 0.0000 0.5000
N 0.5000 0.5000 0.0000
Cl 0.5000 0.5000 0.5000



Entry 3:
Entry from Alexandria via LeMat-Bulk: a relaxed NaAlCl4 crystal (PBEsol).

## Properties
For the total energy, the calculation gives -3.887 eV/atom. The total magnetization is 0.0 μB/cell. The formation energy (no corrections) is -1633 meV/atom. The crystal system is orthorhombic.

Cell lengths 6.1301, 9.7145, 10.2619 Å; angles 90.00, 90.00, 90.00 degrees
Element x y z (fractional)
Na 0.0663 0.0317 0.1292
Na 0.4337 0.9683 0.6292
Na 0.5663 0.4683 0.8708
Na 0.9337 0.5317 0.3708
Al 0.0386 0.7386 0.7857
Al 0.4614 0.2614 0.2857
Al 0.5386 0.7614 0.2143
Al 0.9614 0.2386 0.7143
Cl 0.1376 0.5634 0.8989
Cl 0.1730 0.7304 0.5923
Cl 0.1762 0.9220 0.8721
Cl 0.1876 0.7548 0.2161
Cl 0.3124 0.2452 0.7161
Cl 0.3238 0.0780 0.3721
Cl 0.3270 0.2696 0.0923
Cl 0.3624 0.4366 0.3989
Cl 0.6376 0.9366 0.1011
Cl 0.6730 0.7696 0.4077
Cl 0.6762 0.5780 0.1279
Cl 0.6876 0.7452 0.7839
Cl 0.8124 0.2548 0.2839
Cl 0.8238 0.4220 0.6279
Cl 0.8270 0.2304 0.9077
Cl 0.8624 0.0634 0.6011



Q: Look up the formation energy (no corrections) of the first one.
A: 709 meV/atom



Q: Which value of formation energy (no corrections) does entry 2 give?
A: 1257 meV/atom